No. 1
VASP calculation (PBEsol) on a geometry-optimized Rb3SbSe4 structure.

a b c (Å): 9.7375 11.3780 10.3075
angles (deg): 90.00 90.00 90.00
With the nearest neighbours (Å) after each atom.
Fractional positions:
Rb  0.0690  0.0448  0.1939  6 Se 3.40-3.72
Rb  0.0690  0.4552  0.1939  6 Se 3.40-3.72
Rb  0.1443  0.7500  0.4183  5 Se 3.34-3.56
Rb  0.3557  0.2500  0.9183  5 Se 3.34-3.56
Rb  0.4310  0.5448  0.6939  6 Se 3.40-3.72
Rb  0.4310  0.9552  0.6939  6 Se 3.40-3.72
Rb  0.5690  0.0448  0.3061  6 Se 3.40-3.72
Rb  0.5690  0.4552  0.3061  6 Se 3.40-3.72
Rb  0.6443  0.7500  0.0817  5 Se 3.34-3.56
Rb  0.8557  0.2500  0.5817  5 Se 3.34-3.56
Rb  0.9310  0.5448  0.8061  6 Se 3.40-3.72
Rb  0.9310  0.9552  0.8061  6 Se 3.40-3.72
Sb  0.2294  0.7500  0.9772  4 Se 2.49-2.51
Sb  0.2706  0.2500  0.4772  4 Se 2.49-2.51
Sb  0.7294  0.7500  0.5228  4 Se 2.49-2.51
Sb  0.7706  0.2500  0.0228  4 Se 2.49-2.51
Se  0.0055  0.7500  0.0988  1 Sb 2.51
Se  0.1364  0.0671  0.5277  1 Sb 2.51
Se  0.1364  0.4329  0.5277  1 Sb 2.51
Se  0.1752  0.7500  0.7409  1 Sb 2.49
Se  0.3248  0.2500  0.2409  1 Sb 2.49
Se  0.3636  0.5671  0.0277  1 Sb 2.51
Se  0.3636  0.9329  0.0277  1 Sb 2.51
Se  0.4945  0.2500  0.5988  1 Sb 2.51
Se  0.5055  0.7500  0.4012  1 Sb 2.51
Se  0.6364  0.0671  0.9723  1 Sb 2.51
Se  0.6364  0.4329  0.9723  1 Sb 2.51
Se  0.6752  0.7500  0.7591  1 Sb 2.49
Se  0.8248  0.2500  0.2591  1 Sb 2.49
Se  0.8636  0.5671  0.4723  1 Sb 2.51
Se  0.8636  0.9329  0.4723  1 Sb 2.51
Se  0.9945  0.2500  0.9012  1 Sb 2.51

## Properties
As for the crystal system: orthorhombic. The value obtained for the raw formation energy is -0.84 eV per atom.

---

No. 2
VASP calculation (PBEsol) on a geometry-optimized NaHf3In structure.

a b c (Å): 4.8755 4.8755 4.8755
angles (deg): 90.00 90.00 90.00
With the nearest neighbours (Å) after each atom.
Fractional positions:
Na  0.0000  0.0000  0.0000  6 Hf 2.44
Hf  0.0000  0.0000  0.5000  2 Na 2.44
Hf  0.0000  0.5000  0.0000  2 Na 2.44
Hf  0.5000  0.0000  0.0000  2 Na 2.44
In  0.5000  0.5000  0.5000  12 Hf 3.45

## Properties
As for the crystal system: cubic. The density of states at the Fermi level comes out at 4.57 states/eV per cell. The energy of formation from the pure elements is 1.422 eV per atom.

---

No. 3
VASP calculation (PBEsol) on a geometry-optimized CdCu2SnTe4 structure.

a b c (Å): 7.5354 7.5354 7.5354
angles (deg): 131.46 131.46 71.09
With the nearest neighbours (Å) after each atom.
Fractional positions:
Cd  0.0000  0.0000  0.0000  4 Te 2.81
Cu  0.2500  0.7500  0.5000  4 Te 2.55
Cu  0.7500  0.2500  0.5000  4 Te 2.55
Sn  0.5000  0.5000  0.0000  4 Te 2.80
Te  0.1075  0.1075  0.5016  2 Cu 2.55, 1 Sn 2.80, 1 Cd 2.81
Te  0.3941  0.8925  0.0000  2 Cu 2.55, 1 Sn 2.80, 1 Cd 2.81
Te  0.6059  0.6059  0.4984  2 Cu 2.55, 1 Sn 2.80, 1 Cd 2.81
Te  0.8925  0.3941  0.0000  2 Cu 2.55, 1 Sn 2.80, 1 Cd 2.81

## Properties
As for the crystal system: tetragonal. The density of states at the Fermi level comes out at 0.52 states/eV per cell. The value obtained for the raw formation energy is -0.16 eV per atom.

---

No. 4
VASP calculation (PBEsol) on a geometry-optimized Li2AlAg structure.

a b c (Å): 3.0229 4.4245 4.5903
angles (deg): 90.00 90.00 90.00
With the nearest neighbours (Å) after each atom.
Fractional positions:
Li  0.0000  0.0000  0.0000  4 Li 2.68, 4 Ag 2.75
Li  0.5000  0.5000  0.0000  4 Li 2.68, 4 Al 2.75
Al  0.0000  0.5000  0.5000  4 Ag 2.68, 4 Li 2.75
Ag  0.5000  0.0000  0.5000  4 Al 2.68, 4 Li 2.75

## Properties
As for the crystal system: orthorhombic. The density of states at the Fermi level comes out at 1.33 states/eV per cell. The energy of formation from the pure elements is -0.180 eV per atom.

---

No. 5
VASP calculation (PBEsol) on a geometry-optimized Sr2Pt structure.

a b c (Å): 7.0549 7.0549 7.1371
angles (deg): 90.00 90.00 146.88
With the nearest neighbours (Å) after each atom.
Fractional positions:
Sr  0.0089  0.9911  0.5000  4 Pt 3.07-3.17
Sr  0.2715  0.7285  0.3269  3 Pt 3.00-3.21
Sr  0.7285  0.2715  0.8269  3 Pt 3.00-3.21
Sr  0.9911  0.0089  0.0000  4 Pt 3.07-3.17
Pt  0.3841  0.6159  0.7231  7 Sr 3.00-3.21
Pt  0.6159  0.3841  0.2231  7 Sr 3.00-3.21

## Properties
As for the crystal system: orthorhombic. The density of states at the Fermi level comes out at 2.23 states/eV per cell. The energy of formation from the pure elements is -0.556 eV per atom.

---

No. 6
VASP calculation (PBEsol) on a geometry-optimized ReAsSe2Br structure.

a b c (Å): 4.7510 4.7510 5.0557
angles (deg): 90.00 90.00 90.00
With the nearest neighbours (Å) after each atom.
Fractional positions:
Re  0.0000  0.0000  0.0000  4 Se 2.38, 2 Br 2.53
As  0.5000  0.5000  0.5000  4 Br 3.36, 8 Se 3.47
Se  0.0000  0.5000  0.0000  2 Re 2.38
Se  0.5000  0.0000  0.0000  2 Re 2.38
Br  0.0000  0.0000  0.5000  2 Re 2.53

## Properties
As for the crystal system: tetragonal. The density of states at the Fermi level comes out at 5.96 states/eV per cell. The value obtained for the raw formation energy is 0.71 eV per atom.

---

No. 7
VASP calculation (PBEsol) on a geometry-optimized SrMg2Cd structure.

a b c (Å): 10.3403 10.3403 10.3403
angles (deg): 20.28 20.28 20.28
With the nearest neighbours (Å) after each atom.
Fractional positions:
Sr  0.0000  0.0000  0.0000  3 Cd 3.36, 3 Mg 3.62, 6 Sr 3.64
Mg  0.5093  0.5093  0.5093  3 Cd 3.01, 3 Mg 3.19
Mg  0.7635  0.7635  0.7635  3 Mg 3.19
Cd  0.2468  0.2468  0.2468  3 Mg 3.01, 3 Sr 3.36

## Properties
As for the crystal system: trigonal. The density of states at the Fermi level comes out at 2.36 states/eV per cell. The energy of formation from the pure elements is 0.084 eV per atom.

---

No. 8
VASP calculation (PBEsol) on a geometry-optimized Sr2VAs2O9 structure.

a b c (Å): 8.9553 8.9553 6.8793
angles (deg): 102.13 102.13 130.47
With the nearest neighbours (Å) after each atom.
Fractional positions:
Sr  0.0456  0.9544  0.5000  8 O 2.55-2.81
Sr  0.3739  0.6231  0.0055  8 O 2.52-2.78
Sr  0.6231  0.3739  0.5055  8 O 2.52-2.78
Sr  0.9544  0.0456  0.0000  8 O 2.55-2.81
V  0.0189  0.5299  0.2776  1 O 1.66
V  0.5299  0.0189  0.7776  1 O 1.66
As  0.1594  0.8361  0.9991  4 O 1.70-1.73
As  0.4203  0.5744  0.5002  4 O 1.68-1.74
As  0.5744  0.4203  0.0002  4 O 1.68-1.74
As  0.8361  0.1594  0.4991  4 O 1.70-1.73
O  0.0158  0.2160  0.7294  1 As 1.70
O  0.0520  0.5993  0.0211  1 As 1.73
O  0.2123  0.7836  0.4924  1 V 1.66
O  0.2148  0.4941  0.2672  1 As 1.74
O  0.2160  0.0158  0.2294  1 As 1.70
O  0.3105  0.3446  0.5263  1 As 1.68
O  0.3446  0.3105  0.0263  1 As 1.68
O  0.3924  0.9289  0.9790  1 As 1.73
O  0.4931  0.7708  0.7362  1 As 1.74
O  0.4941  0.2148  0.7672  1 As 1.74
O  0.5993  0.0520  0.5211  1 As 1.73
O  0.6517  0.6932  0.4737  1 As 1.68
O  0.6932  0.6517  0.9737  1 As 1.68
O  0.7708  0.4931  0.2362  1 As 1.74
O  0.7836  0.2123  0.9924  1 V 1.66
O  0.7850  0.9861  0.2675  1 As 1.70
O  0.9289  0.3924  0.4790  1 As 1.73
O  0.9861  0.7850  0.7675  1 As 1.70

## Properties
As for the crystal system: monoclinic. The density of states at the Fermi level comes out at 2.22 states/eV per cell. The value obtained for the raw formation energy is -2.14 eV per atom.

---

No. 9
VASP calculation (PBEsol) on a geometry-optimized K2Cr4O13 structure.

a b c (Å): 8.6988 7.5353 9.2936
angles (deg): 90.00 93.33 90.00
With the nearest neighbours (Å) after each atom.
Fractional positions:
K  0.0000  0.0961  0.0000  8 O 2.77-3.07
K  0.0000  0.9039  0.5000  8 O 2.77-3.07
K  0.2466  0.3984  0.6372  8 O 2.74-3.04
K  0.2466  0.6016  0.1372  8 O 2.74-3.04
Cr  0.2820  0.0710  0.2767  3 O 1.61-1.62
Cr  0.2820  0.9290  0.7767  3 O 1.61-1.62
Cr  0.6128  0.3897  0.9915  4 O 1.58-1.76
Cr  0.6128  0.6103  0.4915  4 O 1.58-1.76
Cr  0.6288  0.0759  0.2356  4 O 1.58-1.75
Cr  0.6288  0.9241  0.7356  4 O 1.58-1.75
Cr  0.9374  0.4293  0.3693  3 O 1.61-1.62
Cr  0.9374  0.5707  0.8693  3 O 1.61-1.62
O  0.0857  0.4412  0.8880  1 Cr 1.62
O  0.0857  0.5588  0.3880  1 Cr 1.62
O  0.1429  0.0677  0.7424  1 Cr 1.62
O  0.1429  0.9323  0.2424  1 Cr 1.62
O  0.2624  0.2403  0.1715  1 Cr 1.61
O  0.2624  0.7597  0.6715  1 Cr 1.61
O  0.2844  0.1297  0.4428  1 Cr 1.61
O  0.2844  0.8703  0.9428  1 Cr 1.61
O  0.4603  0.0412  0.7425  2 Cr 1.72-1.81
O  0.4603  0.9588  0.2425  2 Cr 1.72-1.81
O  0.4630  0.3886  0.8856  1 Cr 1.59
O  0.4630  0.6114  0.3856  1 Cr 1.59
O  0.5882  0.4709  0.6149  1 Cr 1.58
O  0.5882  0.5291  0.1149  1 Cr 1.58
O  0.6317  0.2225  0.3572  1 Cr 1.58
O  0.6317  0.7775  0.8572  1 Cr 1.58
O  0.6366  0.1761  0.0665  2 Cr 1.75-1.76
O  0.6366  0.8239  0.5665  2 Cr 1.75-1.76
O  0.7713  0.0544  0.7621  1 Cr 1.59
O  0.7713  0.9456  0.2621  1 Cr 1.59
O  0.7724  0.4349  0.9001  2 Cr 1.70-1.80
O  0.7724  0.5651  0.4001  2 Cr 1.70-1.80
O  0.9228  0.3505  0.2080  1 Cr 1.61
O  0.9228  0.6495  0.7080  1 Cr 1.61
O  0.9573  0.2712  0.4849  1 Cr 1.61
O  0.9573  0.7288  0.9849  1 Cr 1.61

## Properties
As for the crystal system: monoclinic. The density of states at the Fermi level comes out at 0.00 states/eV per cell. The value obtained for the raw formation energy is -1.76 eV per atom.

---

No. 10
VASP calculation (PBEsol) on a geometry-optimized Mn5Ir structure.

a b c (Å): 4.7251 4.7251 5.8767
angles (deg): 103.70 103.70 31.27
With the nearest neighbours (Å) after each atom.
Fractional positions:
Mn  0.0000  0.0000  0.0000  10 Mn 2.41-2.55, 2 Ir 2.54
Mn  0.0529  0.0529  0.5932  9 Mn 2.45-2.55, 3 Ir 2.47-2.49
Mn  0.3858  0.3858  0.2596  11 Mn 2.41-2.55, 1 Ir 2.52
Mn  0.6607  0.6607  0.3162  10 Mn 2.37-2.55, 2 Ir 2.56
Mn  0.7146  0.7146  0.9425  10 Mn 2.37-2.55, 2 Ir 2.53
Ir  0.3319  0.3319  0.6597  10 Mn 2.47-2.56, 2 Ir 2.55

## Properties
As for the crystal system: monoclinic. The density of states at the Fermi level comes out at 6.90 states/eV per cell. The energy of formation from the pure elements is -0.037 eV per atom.

---

No. 11
VASP calculation (PBEsol) on a geometry-optimized TiIrW2F structure.

a b c (Å): 4.7221 4.7221 4.7781
angles (deg): 90.00 90.00 90.00
With the nearest neighbours (Å) after each atom.
Fractional positions:
Ti  0.0000  0.0000  0.0000  2 Ir 2.39
Ir  0.0000  0.0000  0.5000  4 W 2.36, 2 Ti 2.39
W  0.0000  0.5000  0.5000  2 Ir 2.36
W  0.5000  0.0000  0.5000  2 Ir 2.36
F  0.5000  0.5000  0.0000  4 Ti 3.34, 8 W 3.36

## Properties
As for the crystal system: tetragonal. The density of states at the Fermi level comes out at 6.71 states/eV per cell. The value obtained for the raw formation energy is 1.49 eV per atom.

---

Question: Number 9 is which compound?
Answer: K2Cr4O13